[1]
AcPr2Cd2Pb2 | PBE | optimized geometry

Output
formation enthalpy at 0 K = -1.82 eV/f.u.
VASP energy = -3.533 eV/atom
Fermi-level density of states = 7.3 states/eV/f.u.

Cell: 9.886 9.886 9.886 Å, 30.57 30.57 30.57°
Fractional positions:
Ac1 0.000 0.000 0.000
Pr1 0.134 0.134 0.134
Pr2 0.866 0.866 0.866
Cd1 0.429 0.429 0.429
Cd2 0.571 0.571 0.571
Pb1 0.266 0.266 0.266
Pb2 0.734 0.734 0.734

=====

[2]
AcCdPtPb | PBE | optimized geometry

Output
formation enthalpy at 0 K = -1.82 eV/f.u.
VASP energy = -4.148 eV/atom
Fermi-level density of states = 2.3 states/eV/f.u.

Cell: 5.291 5.291 5.291 Å, 60.00 60.00 60.00°
Fractional positions:
Ac1 0.000 0.000 0.000
Cd1 0.250 0.250 0.250
Pt1 0.750 0.750 0.750
Pb1 0.500 0.500 0.500

=====

[3]
AcPuCdPb | PBE | optimized geometry

Output
formation enthalpy at 0 K = -0.78 eV/f.u.
VASP energy = -5.960 eV/atom
Fermi-level density of states = 11.6 states/eV/f.u.

Cell: 5.647 5.647 5.647 Å, 60.00 60.00 60.00°
Fractional positions:
Ac1 0.000 0.000 0.000
Pu1 0.500 0.500 0.500
Cd1 0.750 0.750 0.750
Pb1 0.250 0.250 0.250

=====

[4]
RbAcCdPb | PBE | optimized geometry

Output
formation enthalpy at 0 K = -0.66 eV/f.u.
VASP energy = -2.591 eV/atom
Fermi-level density of states = 0.9 states/eV/f.u.

Cell: 5.942 5.942 5.942 Å, 60.00 60.00 60.00°
Fractional positions:
Rb1 0.000 0.000 0.000
Ac1 0.500 0.500 0.500
Cd1 0.250 0.250 0.250
Pb1 0.750 0.750 0.750

=====

[5]
Ac2CdRhPb | PBE | optimized geometry

Output
formation enthalpy at 0 K = -2.43 eV/f.u.
VASP energy = -4.523 eV/atom
Fermi-level density of states = 2.8 states/eV/f.u.

Cell: 8.279 4.659 8.457 Å, 90.00 110.55 90.00°
Fractional positions:
Ac1 0.037 0.250 0.224
Ac2 0.333 0.750 0.608
Ac3 0.667 0.250 0.392
Ac4 0.963 0.750 0.776
Cd1 0.334 0.750 0.184
Cd2 0.666 0.250 0.816
Rh1 0.088 0.250 0.606
Rh2 0.912 0.750 0.394
Pb1 0.329 0.250 0.942
Pb2 0.671 0.750 0.058

=====

[6]
AcCdRh3Pb | PBE | optimized geometry

Output
formation enthalpy at 0 K = -0.61 eV/f.u.
VASP energy = -5.232 eV/atom
Fermi-level density of states = 5.5 states/eV/f.u.

Cell: 7.139 7.139 6.579 Å, 90.00 90.00 126.60°
Fractional positions:
Ac1 0.164 0.836 0.750
Ac2 0.836 0.164 0.250
Cd1 0.413 0.587 0.750
Cd2 0.587 0.413 0.250
Rh1 0.220 0.220 0.000
Rh2 0.220 0.220 0.500
Rh3 0.360 0.640 0.250
Rh4 0.640 0.360 0.750
Rh5 0.780 0.780 0.000
Rh6 0.780 0.780 0.500
Pb1 0.146 0.854 0.250
Pb2 0.854 0.146 0.750

=====

[7]
AcCdSbPb | PBE | optimized geometry

Output
formation energy (no corrections) = -0.3535 eV per atom
VASP energy = -3.567 eV/atom
Fermi-level density of states = 3.5 states/eV/f.u.

Cell: 5.622 5.622 5.622 Å, 60.00 60.00 60.00°
Fractional positions:
Ac1 0.000 0.000 0.000
Cd1 0.250 0.250 0.250
Sb1 0.750 0.750 0.750
Pb1 0.500 0.500 0.500

=====

[8]
AcScCdPb | PBE | optimized geometry

Output
formation enthalpy at 0 K = -1.09 eV/f.u.
VASP energy = -4.040 eV/atom
Fermi-level density of states = 4.1 states/eV/f.u.

Cell: 5.492 5.492 5.492 Å, 60.00 60.00 60.00°
Fractional positions:
Ac1 0.000 0.000 0.000
Sc1 0.500 0.500 0.500
Cd1 0.750 0.750 0.750
Pb1 0.250 0.250 0.250

=====

[9]
AcSm2Cd2Pb2 | PBE | optimized geometry

Output
formation enthalpy at 0 K = -1.73 eV/f.u.
VASP energy = -3.503 eV/atom
Fermi-level density of states = 7.6 states/eV/f.u.

Cell: 9.671 9.671 9.671 Å, 31.25 31.25 31.25°
Fractional positions:
Ac1 0.000 0.000 0.000
Sm1 0.135 0.135 0.135
Sm2 0.865 0.865 0.865
Cd1 0.435 0.435 0.435
Cd2 0.565 0.565 0.565
Pb1 0.265 0.265 0.265
Pb2 0.735 0.735 0.735

=====

[10]
AcSmCdPb | PBE | optimized geometry

Output
formation enthalpy at 0 K = -1.53 eV/f.u.
VASP energy = -3.746 eV/atom
Fermi-level density of states = 3.7 states/eV/f.u.

Cell: 5.644 5.644 5.644 Å, 60.00 60.00 60.00°
Fractional positions:
Ac1 0.000 0.000 0.000
Sm1 0.500 0.500 0.500
Cd1 0.750 0.750 0.750
Pb1 0.250 0.250 0.250

=====

[11]
Ac2CdSnPb | PBE | optimized geometry

Output
formation enthalpy at 0 K = -2.45 eV/f.u.
VASP energy = -3.860 eV/atom
Fermi-level density of states = 1.8 states/eV/f.u.

Cell: 8.479 4.877 8.622 Å, 90.00 90.08 90.00°
Fractional positions:
Ac1 0.002 0.250 0.235
Ac2 0.498 0.250 0.237
Ac3 0.502 0.750 0.763
Ac4 0.998 0.750 0.765
Cd1 0.248 0.250 0.584
Cd2 0.752 0.750 0.416
Sn1 0.249 0.750 0.402
Sn2 0.751 0.250 0.598
Pb1 0.251 0.250 0.923
Pb2 0.749 0.750 0.077

=====

[12]
SrAc2Cd2Pb2 | PBE | optimized geometry

Output
formation enthalpy at 0 K = -1.63 eV/f.u.
VASP energy = -2.967 eV/atom
Fermi-level density of states = 6.0 states/eV/f.u.

Cell: 10.419 10.419 10.419 Å, 29.65 29.65 29.65°
Fractional positions:
Sr1 0.000 0.000 0.000
Ac1 0.130 0.130 0.130
Ac2 0.870 0.870 0.870
Cd1 0.416 0.416 0.416
Cd2 0.584 0.584 0.584
Pb1 0.264 0.264 0.264
Pb2 0.736 0.736 0.736

=====

Question: Fermi-level density of states of number 3 (AcPuCdPb)?
Answer: 11.6 states/eV/f.u.